Here is a relaxed structure of BeRe2 from Alexandria. Energies are from PBE-GGA.

a = 10.697 Å, b = 10.697 Å, c = 10.697 Å
α = 165.19°, β = 165.19°, γ = 21.01°
Atoms (fractional coordinates):
Be: 0.000 0.000 0.000
Be: 0.750 0.250 0.500
Re: 0.574 0.574 0.000
Re: 0.176 0.676 0.500
Re: 0.426 0.426 0.000
Re: 0.324 0.824 0.500

Summary:
The spin magnetization is 0.00 μB/f.u. Its energy of formation from the pure elements is 0.40 eV per atom. Its space group is I4_1/amd (141). The crystal system is tetragonal.

***

Here is a relaxed structure of SrCr2Cd2 from Alexandria. Energies are from PBE-GGA.

a = 5.766 Å, b = 5.766 Å, c = 4.734 Å
α = 90.00°, β = 90.00°, γ = 90.00°
Atoms (fractional coordinates):
Sr: 0.000 0.000 0.000
Cr: 0.500 0.500 0.500
Cr: 0.000 0.000 0.500
Cd: 0.000 0.500 0.000
Cd: 0.500 0.000 0.000

Summary:
The spin magnetization is 4.69 μB/f.u. Its energy of formation from the pure elements is 2.00 eV per atom. Its space group is P4/mmm (123). The crystal system is tetragonal.